1.
Entry from the Alexandria database: crystalline SnRh2Se4 at its relaxed geometry (GGA-PBE).

Geometry as POSCAR:
```
SnRh2Se4
1.0
6.261 0.000 -2.709
-1.172 6.151 -2.709
-0.224 -0.270 8.073
Se Sn Rh
8 2 4
Cartesian
2.158 1.448 -1.004
4.955 5.654 -0.496
2.862 3.794 1.383
0.033 3.489 5.309
-0.219 2.359 2.092
4.201 1.629 4.479
2.133 -0.046 2.332
3.338 5.194 -3.473
4.291 1.402 1.328
0.000 0.000 0.000
2.034 0.566 4.700
4.690 3.777 -2.045
1.560 3.777 -0.691
1.448 3.641 3.346
```

Calculated values
For the uncorrected formation energy, the calculation gives -1.31 eV per formula unit.

---

2.
Entry from the Alexandria database: crystalline Ba2TiPbCl at its relaxed geometry (GGA-PBE).

Geometry as POSCAR:
```
Ba2TiPbCl
1.0
6.614 0.000 0.000
0.000 4.563 0.000
0.000 0.000 6.614
Ba Cl Ti Pb
2 1 1 1
Cartesian
0.000 0.000 3.307
3.307 0.000 0.000
0.000 2.281 0.000
0.000 0.000 0.000
3.307 2.281 3.307
```

Calculated values
For the uncorrected formation energy, the calculation gives -0.61 eV per formula unit.

---

3.
Entry from the Alexandria database: crystalline Tb2ZrH at its relaxed geometry (GGA-PBE).

Geometry as POSCAR:
```
Tb2ZrH
1.0
3.336 0.000 0.000
1.668 2.889 0.000
1.668 0.963 9.129
Tb Zr H
2 1 1
Cartesian
5.004 2.889 3.166
1.668 0.963 5.962
0.000 0.000 0.000
3.336 1.926 4.564
```

Calculated values
Its relative energy among the computed polymorphs is 17.4 meV per atom.

---

4.
Entry from the Alexandria database: crystalline NaCu4Se3 at its relaxed geometry (GGA-PBE).

Geometry as POSCAR:
```
NaCu4Se3
1.0
-0.012 1.372 3.672
-3.387 -1.851 0.681
4.896 -7.870 2.957
Se Cu Na
3 4 1
Cartesian
0.000 0.000 0.000
-0.139 -2.748 3.119
1.636 -5.601 4.191
4.061 -5.852 4.292
0.823 -0.646 2.336
-0.865 -2.258 0.841
2.373 -7.463 2.797
2.448 -3.935 1.478
```

Calculated values
For the uncorrected formation energy, the calculation gives -2.46 eV per formula unit.

---

5.
Entry from the Alexandria database: crystalline TlHgBr2 at its relaxed geometry (GGA-PBE).

Geometry as POSCAR:
```
TlHgBr2
1.0
2.367 0.000 9.833
-1.184 2.050 9.833
-1.184 -2.050 9.833
Tl Br Hg
1 2 1
Cartesian
0.000 0.000 0.000
0.000 0.000 26.342
0.000 0.000 3.157
0.000 0.000 14.750
```

Calculated values
For the uncorrected formation energy, the calculation gives -1.06 eV per formula unit. Its relative energy among the computed polymorphs is 256.4 meV per atom.

---

6.
Entry from the Alexandria database: crystalline Pr8HIr3Cl3 at its relaxed geometry (GGA-PBE).

Geometry as POSCAR:
```
Pr8HIr3Cl3
1.0
-1.935 6.387 4.909
2.821 -7.056 3.303
5.565 5.041 -4.371
Pr Cl Ir H
8 3 3 1
Cartesian
1.152 2.960 0.147
4.861 1.742 -0.355
3.876 4.950 2.075
2.575 -0.578 1.766
0.198 6.107 2.567
6.253 -1.736 1.274
5.299 1.411 3.694
1.590 2.630 4.196
1.410 -3.528 1.651
0.000 0.000 0.000
0.443 -0.334 4.106
1.815 5.714 0.269
3.225 2.186 1.920
4.193 -1.008 -0.534
2.783 2.520 -2.185
```

Calculated values
For the uncorrected energy, the calculation gives -5.844 eV/atom.

---

What did the second record say?
Entry from the Alexandria database: crystalline Ba2TiPbCl at its relaxed geometry (GGA-PBE).

Geometry as POSCAR:
```
Ba2TiPbCl
1.0
6.614 0.000 0.000
0.000 4.563 0.000
0.000 0.000 6.614
Ba Cl Ti Pb
2 1 1 1
Cartesian
0.000 0.000 3.307
3.307 0.000 0.000
0.000 2.281 0.000
0.000 0.000 0.000
3.307 2.281 3.307
```

Calculated values
For the uncorrected formation energy, the calculation gives -0.61 eV per formula unit.

---

Please write out number 6 again, unchanged.
Entry from the Alexandria database: crystalline Pr8HIr3Cl3 at its relaxed geometry (GGA-PBE).

Geometry as POSCAR:
```
Pr8HIr3Cl3
1.0
-1.935 6.387 4.909
2.821 -7.056 3.303
5.565 5.041 -4.371
Pr Cl Ir H
8 3 3 1
Cartesian
1.152 2.960 0.147
4.861 1.742 -0.355
3.876 4.950 2.075
2.575 -0.578 1.766
0.198 6.107 2.567
6.253 -1.736 1.274
5.299 1.411 3.694
1.590 2.630 4.196
1.410 -3.528 1.651
0.000 0.000 0.000
0.443 -0.334 4.106
1.815 5.714 0.269
3.225 2.186 1.920
4.193 -1.008 -0.534
2.783 2.520 -2.185
```

Calculated values
For the uncorrected energy, the calculation gives -5.844 eV/atom.